A plane-wave DFT calculation with PBE-GGA was carried out for an optimized crystal structure of SrBiC3.

As for the uncorrected energy: -0.3152 Ry/atom. The calculation puts the energy relative to the elements at 2358.7 meV per atom.

The space group is Pm-3m (No. 221) and the conventional cell measures 4.578, 4.578 and 4.578 Å, with angles of 90.00, 90.00 and 90.00 degrees. The inequivalent atoms are Sr at (0.000, 0.000, 0.000), Bi at (0.500, 0.500, 0.500) and C at (0.000, 0.500, 0.500).